[1]
Nb4AlCuN2 | GGA-PBE | optimized geometry

Unit cell a=3.146 b=3.146 c=13.333 alpha=90.00 beta=90.00 gamma=120.00
Fractional coordinates of all 8 atoms:
1 Al 0.000 0.000 0.500
2 Cu 0.333 0.667 0.000
3 N 0.667 0.333 0.243
4 N 0.667 0.333 0.757
5 Nb 0.000 0.000 0.156
6 Nb 0.333 0.667 0.334
7 Nb 0.333 0.667 0.666
8 Nb 0.000 0.000 0.844

Computed properties:
**Energy**: -0.31533 Ha/atom
**Space group**: P-6m2
**Total moment**: 0.001 μB/atom



[2]
LiSmTm | GGA-PBE | optimized geometry

Unit cell a=5.049 b=5.049 c=5.049 alpha=60.00 beta=60.00 gamma=60.00
Fractional coordinates of all 3 atoms:
1 Li 0.000 0.000 0.000
2 Sm 0.250 0.250 0.250
3 Tm 0.750 0.750 0.750

Computed properties:
**E above lowest polymorph**: 0.0 meV/atom
**Space group**: F-43m
**Total moment**: 0.003 μB/atom



[3]
Hf4AlCoC2 | GGA-PBE | optimized geometry

Unit cell a=3.240 b=3.240 c=13.801 alpha=90.00 beta=90.00 gamma=120.00
Fractional coordinates of all 8 atoms:
1 Al 0.000 0.000 0.000
2 C 0.333 0.667 0.261
3 C 0.333 0.667 0.739
4 Co 0.667 0.333 0.500
5 Hf 0.667 0.333 0.172
6 Hf 0.000 0.000 0.361
7 Hf 0.000 0.000 0.639
8 Hf 0.667 0.333 0.828

Computed properties:
**Energy**: -0.33817 Ha/atom
**Space group**: P-6m2
**Total moment**: 0.086 μB/atom



Which of these has the lowest total moment? Nb4AlCuN2



Which value of total moment does entry 3 give? 0.086 μB/atom



Copy entry 3 word for word.
Hf4AlCoC2 | GGA-PBE | optimized geometry

Unit cell a=3.240 b=3.240 c=13.801 alpha=90.00 beta=90.00 gamma=120.00
Fractional coordinates of all 8 atoms:
1 Al 0.000 0.000 0.000
2 C 0.333 0.667 0.261
3 C 0.333 0.667 0.739
4 Co 0.667 0.333 0.500
5 Hf 0.667 0.333 0.172
6 Hf 0.000 0.000 0.361
7 Hf 0.000 0.000 0.639
8 Hf 0.667 0.333 0.828

Computed properties:
**Energy**: -0.33817 Ha/atom
**Space group**: P-6m2
**Total moment**: 0.086 μB/atom